Record 1
10
Lattice="-0.0571 -2.2863 -3.5701 -4.3951 -3.9979 5.1480 -7.3343 5.3367 -3.3003" Properties=species:S:1:pos:R:3 comment="Sb2Te3, relaxed, DFT GGA-PBEsol" e_form_raw_mev_per_atom=-73 pbc="T T T"
Sb -5.9693 4.0012 -2.4669
Sb -3.4512 -1.3125 0.8957
Sb -5.8172 -4.9486 0.7444
Sb -8.3352 0.3651 -2.6181
Te -3.2724 -3.7316 2.4420
Te -8.3793 -1.0293 0.7931
Te -8.5140 2.7842 -4.1644
Te -3.4072 0.0818 -2.5155
Te -5.6370 -2.5298 -0.8074
Te -6.1495 1.5824 -0.9151

Record 2
Here is a relaxed structure of Ca2ScCr from Alexandria via LeMat-Bulk. Energies are from GGA-PBEsol.

```
4
Lattice="-0.2072 -2.1854 4.8109 4.4774 -2.6294 -1.0016 -0.1501 5.2611 -0.5228" Properties=species:S:1:pos:R:3 pbc="T T T"
Ca 0.8889 0.3342 3.0964
Ca 0.0000 0.0000 0.0000
Cr 2.1351 -2.4074 1.9047
Sc 3.2312 0.1122 0.1901
```

Record 3
Here is a relaxed structure of TlIn2Rh from Alexandria via LeMat-Bulk. Energies are from GGA-PBEsol.

```
4
Lattice="4.3070 0.0000 0.0000 0.0000 4.3070 0.0000 -2.1535 -2.1535 4.3256" Properties=species:S:1:pos:R:3 pbc="T T T"
In 2.1535 0.0000 2.1628
In 0.0000 0.0000 0.0000
Tl 0.0000 2.1535 2.1628
Rh 2.1535 2.1535 0.0000
```

Values of V, in order: 154 105 80, all in Å³/f.u..
Values of VASP energy, in order: -20.057 -18.995 -16.211, all in eV per formula unit.
Values of M_tot, in order: 0.000 4.657 0.000, all in μB/f.u..